i | Compound: Si2Hg
Source: Alexandria
Functional: PBE
Structure: optimized geometry

## Properties
D(E_F) = 5.27 states/eV per cell

```
Si2Hg
1.0
-4.866 3.075 -0.084
1.672 -2.609 4.851
4.076 6.508 2.095
Si Hg
8 4
Direct
0.000 0.000 0.000
0.000 0.000 0.500
0.816 0.633 0.250
0.184 0.367 0.750
0.367 0.184 0.250
0.816 0.184 0.250
0.184 0.816 0.750
0.633 0.816 0.750
0.333 0.667 0.069
0.667 0.333 0.569
0.667 0.333 0.931
0.333 0.667 0.431
```

***

ii | Compound: Si2Hg
Source: Alexandria
Functional: PBE
Structure: optimized geometry

## Properties
D(E_F) = 1.57 states/eV per cell

```
Si2Hg
1.0
-7.492 -1.084 -5.478
5.150 -0.417 7.786
-1.244 3.493 1.010
Si Hg
4 2
Direct
0.841 0.159 0.750
0.246 0.754 0.750
0.754 0.246 0.250
0.159 0.841 0.250
0.565 0.435 0.750
0.435 0.565 0.250
```

***

iii | Compound: Si2Hg
Source: Alexandria
Functional: PBE
Structure: optimized geometry

## Properties
D(E_F) = 2.07 states/eV per cell

```
Si2Hg
1.0
-5.225 0.887 -3.315
-3.378 -0.267 5.253
0.603 6.182 0.702
Si Hg
8 4
Direct
0.609 0.609 0.391
0.391 0.391 0.609
0.109 0.891 0.609
0.891 0.109 0.391
0.391 0.109 0.109
0.609 0.891 0.891
0.891 0.391 0.891
0.109 0.609 0.109
0.000 0.000 0.000
0.500 0.500 0.000
0.500 0.000 0.500
0.000 0.500 0.500
```

***

The structures above, arranged from the most stable to the least stable: ii, i, iii.